Entry 1:
# Cr3N (PBE, relaxed)
# Energy relative to the elements, uncorrected in meV per atom: 41
# Energy in eV/f.u.: -37.0
data_Cr3N
_chemical_formula_sum 'Cr3 N1'
_cell_length_a 2.544
_cell_length_b 2.639
_cell_length_c 6.284
_cell_angle_alpha 90.00
_cell_angle_beta 90.00
_cell_angle_gamma 90.00
_symmetry_space_group_name_H-M 'P m m 2'
_symmetry_Int_Tables_number 25
_symmetry_space_group_name_Hall 'P 2 -2'
loop_
_atom_site_label
_atom_site_type_symbol
_atom_site_fract_x
_atom_site_fract_y
_atom_site_fract_z
_atom_site_occupancy
Cr1 Cr 0.000 0.000 0.000 1
Cr2 Cr 0.000 0.500 0.366 1
Cr3 Cr 0.500 0.500 0.720 1
N1 N 0.500 0.000 0.245 1


Entry 2:
# Li2AcCl6 (PBE, relaxed)
# Energy relative to the elements, uncorrected in meV per atom: -1764
# Energy in eV/f.u.: -34.9
data_Li2AcCl6
_chemical_formula_sum 'Li4 Ac2 Cl12'
_cell_length_a 12.518
_cell_length_b 5.467
_cell_length_c 8.892
_cell_angle_alpha 90.00
_cell_angle_beta 127.30
_cell_angle_gamma 90.00
_symmetry_space_group_name_H-M 'C 1 2/m 1'
_symmetry_Int_Tables_number 12
_symmetry_space_group_name_Hall '-C 2y'
loop_
_atom_site_label
_atom_site_type_symbol
_atom_site_fract_x
_atom_site_fract_y
_atom_site_fract_z
_atom_site_occupancy
Li1 Li 0.173 0.000 0.064 1
Ac1 Ac 0.000 0.000 0.500 1
Cl1 Cl 0.062 0.000 0.234 1
Cl2 Cl 0.135 0.500 0.567 1
Cl3 Cl 0.238 0.500 0.121 1


Entry 3:
# NpInRhAu (PBE, relaxed)
# Energy in eV/f.u.: -27.0
data_NpInRhAu
_chemical_formula_sum 'Np4 In4 Rh4 Au4'
_cell_length_a 6.878
_cell_length_b 6.878
_cell_length_c 6.878
_cell_angle_alpha 90.00
_cell_angle_beta 90.00
_cell_angle_gamma 90.00
_symmetry_space_group_name_H-M 'F -4 3 m'
_symmetry_Int_Tables_number 216
_symmetry_space_group_name_Hall 'F -4 2 3'
loop_
_atom_site_label
_atom_site_type_symbol
_atom_site_fract_x
_atom_site_fract_y
_atom_site_fract_z
_atom_site_occupancy
Np1 Np 0.000 0.000 0.000 1
In1 In 0.000 0.000 0.500 1
Rh1 Rh 0.250 0.250 0.750 1
Au1 Au 0.250 0.250 0.250 1


Entry 4:
# ZnPdAu3 (PBE, relaxed)
# Distance to the lowest polymorph of the same formula in eV per atom: 0.744
# Energy in eV/f.u.: -13.5
data_ZnPdAu3
_chemical_formula_sum 'Zn1 Pd1 Au3'
_cell_length_a 4.756
_cell_length_b 4.756
_cell_length_c 4.756
_cell_angle_alpha 90.00
_cell_angle_beta 90.00
_cell_angle_gamma 90.00
_symmetry_space_group_name_H-M 'P m -3 m'
_symmetry_Int_Tables_number 221
_symmetry_space_group_name_Hall '-P 4 2 3'
loop_
_atom_site_label
_atom_site_type_symbol
_atom_site_fract_x
_atom_site_fract_y
_atom_site_fract_z
_atom_site_occupancy
Zn1 Zn 0.000 0.000 0.000 1
Pd1 Pd 0.500 0.500 0.500 1
Au1 Au 0.000 0.000 0.500 1


Entry 5:
# NbReP2 (PBE, relaxed)
# Distance to the lowest polymorph of the same formula in eV per atom: 0.003
# Energy in eV/f.u.: -34.6
data_NbReP2
_chemical_formula_sum 'Nb3 Re3 P6'
_cell_length_a 3.3254
_cell_length_b 3.3254
_cell_length_c 19.2268
_cell_angle_alpha 90.00
_cell_angle_beta 90.00
_cell_angle_gamma 120.00
_symmetry_space_group_name_H-M 'R 3 m'
_symmetry_Int_Tables_number 160
_symmetry_space_group_name_Hall 'R 3 -2"'
loop_
_atom_site_label
_atom_site_type_symbol
_atom_site_fract_x
_atom_site_fract_y
_atom_site_fract_z
_atom_site_occupancy
Nb1 Nb 0.0000 0.0000 0.0000 1
Re1 Re 0.0000 0.0000 0.1617 1
P1 P 0.0000 0.0000 0.4188 1
P2 P 0.0000 0.0000 0.5752 1


Entry 6:
# YNi2Pd (PBE, relaxed)
# Energy in eV/f.u.: -23.6
data_YNi2Pd
_chemical_formula_sum 'Y4 Ni8 Pd4'
_cell_length_a 4.074
_cell_length_b 4.074
_cell_length_c 17.850
_cell_angle_alpha 90.00
_cell_angle_beta 90.00
_cell_angle_gamma 90.00
_symmetry_space_group_name_H-M 'I -4 2 d'
_symmetry_Int_Tables_number 122
_symmetry_space_group_name_Hall 'I -4 2bw'
loop_
_atom_site_label
_atom_site_type_symbol
_atom_site_fract_x
_atom_site_fract_y
_atom_site_fract_z
_atom_site_occupancy
Y1 Y 0.000 0.000 0.000 1
Ni1 Ni 0.126 0.250 0.625 1
Pd1 Pd 0.000 0.000 0.500 1


Entry 7:
# K2BaSeBr (PBE, relaxed)
# Energy relative to the elements, uncorrected in meV per atom: -879
# Energy in eV/f.u.: -13.7
data_K2BaSeBr
_chemical_formula_sum 'K2 Ba1 Se1 Br1'
_cell_length_a 5.921
_cell_length_b 5.921
_cell_length_c 6.473
_cell_angle_alpha 90.00
_cell_angle_beta 90.00
_cell_angle_gamma 90.00
_symmetry_space_group_name_H-M 'P 4/m m m'
_symmetry_Int_Tables_number 123
_symmetry_space_group_name_Hall '-P 4 2'
loop_
_atom_site_label
_atom_site_type_symbol
_atom_site_fract_x
_atom_site_fract_y
_atom_site_fract_z
_atom_site_occupancy
K1 K 0.000 0.500 0.000 1
Ba1 Ba 0.000 0.000 0.500 1
Se1 Se 0.500 0.500 0.500 1
Br1 Br 0.000 0.000 0.000 1


Entry 8:
# Tb3Pm2TmTe6 (PBE, relaxed)
# Energy relative to the elements, uncorrected in meV per atom: -1321
# Energy in eV/f.u.: -62.6
data_Tb3Pm2TmTe6
_chemical_formula_sum 'Tb6 Pm4 Tm2 Te12'
_cell_length_a 19.149
_cell_length_b 4.359
_cell_length_c 8.835
_cell_angle_alpha 90.00
_cell_angle_beta 102.58
_cell_angle_gamma 90.00
_symmetry_space_group_name_H-M 'C 1 2/m 1'
_symmetry_Int_Tables_number 12
_symmetry_space_group_name_Hall '-C 2y'
loop_
_atom_site_label
_atom_site_type_symbol
_atom_site_fract_x
_atom_site_fract_y
_atom_site_fract_z
_atom_site_occupancy
Tb1 Tb 0.000 0.000 0.000 1
Tb2 Tb 0.174 0.500 0.335 1
Pm1 Pm 0.171 0.500 0.837 1
Tm1 Tm 0.000 0.000 0.500 1
Te1 Te 0.003 0.500 0.256 1
Te2 Te 0.161 0.000 0.575 1
Te3 Te 0.162 0.000 0.087 1


Entry 9:
# Ag2PbO2 (PBE, relaxed)
# Energy relative to the elements, uncorrected in meV per atom: -120
# Energy in eV/f.u.: -19.9
data_Ag2PbO2
_chemical_formula_sum 'Ag4 Pb2 O4'
_cell_length_a 6.754
_cell_length_b 6.754
_cell_length_c 3.523
_cell_angle_alpha 90.00
_cell_angle_beta 90.00
_cell_angle_gamma 90.00
_symmetry_space_group_name_H-M 'P 4/m b m'
_symmetry_Int_Tables_number 127
_symmetry_space_group_name_Hall '-P 4 2ab'
loop_
_atom_site_label
_atom_site_type_symbol
_atom_site_fract_x
_atom_site_fract_y
_atom_site_fract_z
_atom_site_occupancy
Ag1 Ag 0.142 0.358 0.000 1
Pb1 Pb 0.000 0.000 0.500 1
O1 O 0.181 0.681 0.500 1


Entry 10:
# Cs2NbGe (PBE, relaxed)
# Energy in eV/f.u.: -11.0
data_Cs2NbGe
_chemical_formula_sum 'Cs8 Nb4 Ge4'
_cell_length_a 8.704
_cell_length_b 8.704
_cell_length_c 8.704
_cell_angle_alpha 90.00
_cell_angle_beta 90.00
_cell_angle_gamma 90.00
_symmetry_space_group_name_H-M 'F m -3 m'
_symmetry_Int_Tables_number 225
_symmetry_space_group_name_Hall '-F 4 2 3'
loop_
_atom_site_label
_atom_site_type_symbol
_atom_site_fract_x
_atom_site_fract_y
_atom_site_fract_z
_atom_site_occupancy
Cs1 Cs 0.250 0.250 0.250 1
Nb1 Nb 0.000 0.000 0.000 1
Ge1 Ge 0.000 0.000 0.500 1


| no. | V (Å³ per atom) |
| --- | --- |
| 1 | 10.55 |
| 2 | 26.89 |
| 3 | 20.33 |
| 4 | 21.51 |
| 5 | 15.34 |
| 6 | 18.51 |
| 7 | 45.39 |
| 8 | 29.99 |
| 9 | 16.07 |
| 10 | 41.21 |